[1]
The following is a DFT calculation (PBE) of crystalline Re2TcSe at its relaxed geometry.

The structure in CIF format:
```
data_Re2TcSe
_symmetry_space_group_name_H-M 'P 4/m m m'
_symmetry_Int_Tables_number 123
_symmetry_space_group_name_Hall '-P 4 2'
_cell_length_a 2.9777
_cell_length_b 2.9777
_cell_length_c 6.7029
_cell_angle_alpha 90.00
_cell_angle_beta 90.00
_cell_angle_gamma 90.00
loop_
_atom_site_label
_atom_site_fract_x
_atom_site_fract_y
_atom_site_fract_z
Re1 0.0000 0.0000 0.2430
Tc1 0.5000 0.5000 0.5000
Se1 0.5000 0.5000 0.0000
```

Calculated values
The calculation puts the formation energy (no corrections) at 116.6 kJ/mol of formula units.

[2]
The following is a DFT calculation (PBE) of crystalline Cd3GePt12 at its relaxed geometry.

The structure in CIF format:
```
data_Cd3GePt12
_symmetry_space_group_name_H-M 'P 4/m m m'
_symmetry_Int_Tables_number 123
_symmetry_space_group_name_Hall '-P 4 2'
_cell_length_a 4.0222
_cell_length_b 4.0222
_cell_length_c 16.0950
_cell_angle_alpha 90.00
_cell_angle_beta 90.00
_cell_angle_gamma 90.00
loop_
_atom_site_label
_atom_site_fract_x
_atom_site_fract_y
_atom_site_fract_z
Cd1 0.0000 0.0000 0.0000
Cd2 0.0000 0.0000 0.2524
Ge1 0.0000 0.0000 0.5000
Pt1 0.0000 0.5000 0.1264
Pt2 0.0000 0.5000 0.3809
Pt3 0.5000 0.5000 0.0000
Pt4 0.5000 0.5000 0.2538
Pt5 0.5000 0.5000 0.5000
```

Calculated values
As for the formation energy: -3.38 eV/f.u.

[3]
The following is a DFT calculation (PBE) of crystalline ZnBi3Os at its relaxed geometry.

The structure in CIF format:
```
data_ZnBi3Os
_symmetry_space_group_name_H-M 'P m -3 m'
_symmetry_Int_Tables_number 221
_symmetry_space_group_name_Hall '-P 4 2 3'
_cell_length_a 5.3486
_cell_length_b 5.3486
_cell_length_c 5.3486
_cell_angle_alpha 90.00
_cell_angle_beta 90.00
_cell_angle_gamma 90.00
loop_
_atom_site_label
_atom_site_fract_x
_atom_site_fract_y
_atom_site_fract_z
Zn1 0.0000 0.0000 0.0000
Bi1 0.0000 0.5000 0.5000
Os1 0.5000 0.5000 0.5000
```

Calculated values
As for the formation energy: 4.04 eV/f.u.

[4]
The following is a DFT calculation (PBE) of crystalline Mg2ZrTa at its relaxed geometry.

The structure in CIF format:
```
data_Mg2ZrTa
_symmetry_space_group_name_H-M 'R -3 m'
_symmetry_Int_Tables_number 166
_symmetry_space_group_name_Hall '-R 3 2"'
_cell_length_a 2.9917
_cell_length_b 2.9917
_cell_length_c 32.0450
_cell_angle_alpha 90.00
_cell_angle_beta 90.00
_cell_angle_gamma 120.00
loop_
_atom_site_label
_atom_site_fract_x
_atom_site_fract_y
_atom_site_fract_z
Mg1 0.0000 0.0000 0.2473
Zr1 0.0000 0.0000 0.0000
Ta1 0.0000 0.0000 0.5000
```

Calculated values
As for the formation energy: 0.88 eV/f.u.

[5]
The following is a DFT calculation (PBE) of crystalline Zr4CuTc at its relaxed geometry.

The structure in CIF format:
```
data_Zr4CuTc
_symmetry_space_group_name_H-M 'P m n a'
_symmetry_Int_Tables_number 53
_cell_length_a 6.0137
_cell_length_b 5.5951
_cell_length_c 7.1678
_cell_angle_alpha 90.00
_cell_angle_beta 90.00
_cell_angle_gamma 90.00
loop_
_symmetry_equiv_pos_as_xyz
'x,y,z'
'-x,-y,-z'
'-x+1/2,-y,z+1/2'
'x+1/2,y,-z+1/2'
'x,-y,-z'
'-x,y,z'
'-x+1/2,y,-z+1/2'
'x+1/2,-y,z+1/2'
loop_
_atom_site_label
_atom_site_fract_x
_atom_site_fract_y
_atom_site_fract_z
Zr1 0.0000 0.2283 0.1440
Zr2 0.2500 0.2506 0.7500
Cu1 0.0000 0.5000 0.5000
Tc1 0.0000 0.0000 0.5000
```

Calculated values
As for the formation energy: -0.69 eV/f.u.

[6]
The following is a DFT calculation (PBE) of crystalline Tl4OsBr at its relaxed geometry.

The structure in CIF format:
```
data_Tl4OsBr
_symmetry_space_group_name_H-M 'F -4 3 m'
_symmetry_Int_Tables_number 216
_symmetry_space_group_name_Hall 'F -4 2 3'
_cell_length_a 8.9174
_cell_length_b 8.9174
_cell_length_c 8.9174
_cell_angle_alpha 90.00
_cell_angle_beta 90.00
_cell_angle_gamma 90.00
loop_
_atom_site_label
_atom_site_fract_x
_atom_site_fract_y
_atom_site_fract_z
Tl1 0.1253 0.1253 0.1253
Os1 0.0000 0.0000 0.5000
Br1 0.2500 0.2500 0.7500
```

Calculated values
The calculation puts the formation energy (no corrections) at 530.5 kJ/mol of formula units.

[7]
The following is a DFT calculation (PBE) of crystalline Sn6HgSe8 at its relaxed geometry.

The structure in CIF format:
```
data_Sn6HgSe8
_symmetry_space_group_name_H-M 'R -3'
_symmetry_Int_Tables_number 148
_symmetry_space_group_name_Hall '-R 3'
_cell_length_a 12.2761
_cell_length_b 12.2761
_cell_length_c 12.2774
_cell_angle_alpha 90.00
_cell_angle_beta 90.00
_cell_angle_gamma 120.00
loop_
_atom_site_label
_atom_site_fract_x
_atom_site_fract_y
_atom_site_fract_z
Sn1 0.0157 0.1892 0.3653
Hg1 0.0000 0.0000 0.0000
Se1 0.0000 0.0000 0.2098
Se2 0.0047 0.2727 0.5924
```

Calculated values
The calculation puts the formation energy (no corrections) at -335.2 kJ/mol of formula units.

[8]
The following is a DFT calculation (PBE) of crystalline Ho3MgPb5 at its relaxed geometry.

The structure in CIF format:
```
data_Ho3MgPb5
_symmetry_space_group_name_H-M 'P 63/m c m'
_symmetry_Int_Tables_number 193
_symmetry_space_group_name_Hall '-P 6c 2'
_cell_length_a 9.4205
_cell_length_b 9.4205
_cell_length_c 6.4842
_cell_angle_alpha 90.00
_cell_angle_beta 90.00
_cell_angle_gamma 120.00
loop_
_atom_site_label
_atom_site_fract_x
_atom_site_fract_y
_atom_site_fract_z
Ho1 0.0000 0.3779 0.2500
Mg1 0.0000 0.0000 0.0000
Pb1 0.0000 0.2838 0.7500
Pb2 0.3333 0.6667 0.0000
```

Calculated values
As for the formation energy: -2.71 eV/f.u.

[9]
The following is a DFT calculation (PBE) of crystalline Tb3ScFe8 at its relaxed geometry.

The structure in CIF format:
```
data_Tb3ScFe8
_symmetry_space_group_name_H-M 'R 3 m'
_symmetry_Int_Tables_number 160
_symmetry_space_group_name_Hall 'R 3 -2"'
_cell_length_a 5.0919
_cell_length_b 5.0919
_cell_length_c 24.9297
_cell_angle_alpha 90.00
_cell_angle_beta 90.00
_cell_angle_gamma 120.00
loop_
_atom_site_label
_atom_site_fract_x
_atom_site_fract_y
_atom_site_fract_z
Tb1 0.0000 0.0000 0.0000
Tb2 0.0000 0.0000 0.1260
Tb3 0.0000 0.0000 0.6233
Sc1 0.0000 0.0000 0.4996
Fe1 0.0000 0.0000 0.3119
Fe2 0.0000 0.0000 0.8128
Fe3 0.0022 0.5011 0.0639
Fe4 0.1671 0.3342 0.8940
```

Calculated values
As for the formation energy: -1.23 eV/f.u.

[10]
The following is a DFT calculation (PBE) of crystalline BaPuP2Os at its relaxed geometry.

The structure in CIF format:
```
data_BaPuP2Os
_symmetry_space_group_name_H-M 'I -4 m 2'
_symmetry_Int_Tables_number 119
_symmetry_space_group_name_Hall 'I -4 -2'
_cell_length_a 4.1166
_cell_length_b 4.1166
_cell_length_c 13.7810
_cell_angle_alpha 90.00
_cell_angle_beta 90.00
_cell_angle_gamma 90.00
loop_
_atom_site_label
_atom_site_fract_x
_atom_site_fract_y
_atom_site_fract_z
Ba1 0.0000 0.0000 0.0000
Pu1 0.0000 0.5000 0.7500
P1 0.0000 0.0000 0.3723
Os1 0.0000 0.5000 0.2500
```

Calculated values
As for the formation energy: -2.37 eV/f.u.

no.,DOS at the Fermi energy (states/eV/atom)
1,0.66
2,1.03
3,0.94
4,1.24
5,0.79
6,0.85
7,0.45
8,0.63
9,1.35
10,1.44